Record 1
Here is a geometry-optimized NaTlSn4Se8 structure from Alexandria via LeMat-Bulk. Energies are from PBE-GGA.

Computed properties:
* energy: -53.0 eV per formula unit

a b c (Å): 8.0290 8.0290 9.2112
angles (deg): 64.16 64.16 60.00
Last column: nearest neighbours and their distance in Å.
Fractional positions:
Se1 0.2569 0.2569 0.6961  2 Sn 2.70, 1 Tl 2.94
Se2 0.7522 0.7522 0.2901  3 Sn 2.74-2.81
Se3 0.2569 0.7901 0.6961  2 Sn 2.70, 1 Tl 2.94
Se4 0.2054 0.7522 0.2901  3 Sn 2.74-2.81
Se5 0.2317 0.2317 0.3048  3 Sn 2.78
Se6 0.7690 0.7690 0.6929  3 Sn 2.79
Se7 0.7901 0.2569 0.6961  2 Sn 2.70, 1 Tl 2.94
Se8 0.7522 0.2054 0.2901  3 Sn 2.74-2.81
Sn1 0.0012 0.4934 0.5042  6 Se 2.70-2.81
Sn2 0.4934 0.0012 0.5042  6 Se 2.70-2.81
Sn3 0.0012 0.0012 0.5042  6 Se 2.70-2.81
Sn4 0.6138 0.6138 0.1585  3 Se 2.74
Tl1 0.3682 0.3682 0.8953  4 Se 2.94-3.26
Na1 0.0076 0.0076 0.9773  6 Se 3.11-3.26



Record 2
Here is a geometry-optimized Er8Sb2Ru structure from Alexandria via LeMat-Bulk. Energies are from PBE-GGA.

Computed properties:
* energy: -59.0 eV per formula unit

a b c (Å): 4.5899 7.1355 9.6316
angles (deg): 97.56 103.78 90.00
Last column: nearest neighbours and their distance in Å.
Fractional positions:
Ru1 0.5000 0.0000 0.0000  6 Er 2.62-2.81
Sb1 0.1818 0.7725 0.3637  9 Er 3.11-3.41
Sb2 0.8182 0.2275 0.6363  9 Er 3.11-3.41
Er1 0.3587 0.9672 0.7175  1 Ru 2.62
Er2 0.2157 0.3459 0.4313  3 Sb 3.18-3.19, 7 Er 3.32-3.55
Er3 0.7843 0.6541 0.5687  3 Sb 3.18-3.19, 7 Er 3.32-3.55
Er4 0.5951 0.5117 0.1901  2 Sb 3.25, 9 Er 3.44-3.64
Er5 0.6413 0.0328 0.2825  1 Ru 2.62
Er6 0.4049 0.4883 0.8099  2 Sb 3.25, 9 Er 3.44-3.64
Er7 0.0031 0.7750 0.0061  2 Ru 2.81
Er8 0.9969 0.2250 0.9939  2 Ru 2.81



Record 3
Here is a geometry-optimized MnCu3S structure from Alexandria via LeMat-Bulk. Energies are from PBE-GGA.

Computed properties:
* energy: -19.5 eV per formula unit

a b c (Å): 4.5360 4.5360 4.5360
angles (deg): 90.00 90.00 90.00
Last column: nearest neighbours and their distance in Å.
Fractional positions:
Cu1 0.5000 0.0000 0.0000  2 Mn 2.27
Cu2 0.0000 0.0000 0.5000  2 Mn 2.27
Cu3 0.0000 0.5000 0.0000  2 Mn 2.27
S1 0.5000 0.5000 0.5000  12 Cu 3.21
Mn1 0.0000 0.0000 0.0000  6 Cu 2.27



Q: Which energy relative to the elements, uncorrected values were calculated for the entries above? A: -0.386 -0.456 1.217, in eV per atom.
Q: Which theoretical density values were calculated for the entries above? A: 4.98 9.21 4.94, in Mg/m³.